(A)
Material: SnSbAsI2
Method: DFT, PBE
State: relaxed Values from VASP.

SG = No. 123

```
&SYSTEM
  ibrav = 0, nat = 5, ntyp = 4
/
ATOMIC_SPECIES
I 126.90 I.upf
Sb 121.76 Sb.upf
As 74.92 As.upf
Sn 118.71 Sn.upf
CELL_PARAMETERS angstrom
5.540 0.000 0.000
0.000 5.540 0.000
0.000 0.000 5.711
ATOMIC_POSITIONS angstrom
I 0.000 2.770 0.000
I 2.770 0.000 0.000
Sb 0.000 0.000 2.855
As 0.000 0.000 0.000
Sn 2.770 2.770 2.855
```

(B)
Material: SnSbAsI2
Method: DFT, PBE
State: relaxed Values from VASP.

SG = No. 123

```
&SYSTEM
  ibrav = 0, nat = 5, ntyp = 4
/
ATOMIC_SPECIES
I 126.90 I.upf
Sb 121.76 Sb.upf
As 74.92 As.upf
Sn 118.71 Sn.upf
CELL_PARAMETERS angstrom
-0.608 2.139 5.487
-4.682 -3.521 0.854
3.666 -4.364 2.108
ATOMIC_POSITIONS angstrom
I -2.341 -1.760 0.427
I -0.304 1.070 2.743
Sb 1.833 -2.182 1.054
As -0.812 -2.873 4.224
Sn 0.000 0.000 0.000
```

It is (A) that is most stable; the runner-up trails by 0.270 eV/atom.

(A)
Material: TaSbAsI2
Method: DFT, PBE
State: relaxed Values from VASP.

SG = No. 123

```
&SYSTEM
  ibrav = 0, nat = 5, ntyp = 4
/
ATOMIC_SPECIES
I 126.90 I.upf
Sb 121.76 Sb.upf
As 74.92 As.upf
Ta 180.95 Ta.upf
CELL_PARAMETERS angstrom
-3.604 1.814 3.645
-1.676 -5.097 0.879
3.838 -0.560 4.073
ATOMIC_POSITIONS angstrom
I -0.838 -2.549 0.440
I -1.802 0.907 1.823
Sb 1.919 -0.280 2.037
As -0.721 -1.922 4.299
Ta 0.000 0.000 0.000
```

(B)
Material: TaSbAsI2
Method: DFT, PBE
State: relaxed Values from VASP.

SG = No. 123

```
&SYSTEM
  ibrav = 0, nat = 5, ntyp = 4
/
ATOMIC_SPECIES
I 126.90 I.upf
Sb 121.76 Sb.upf
As 74.92 As.upf
Ta 180.95 Ta.upf
CELL_PARAMETERS angstrom
-4.582 -1.990 -2.082
-1.733 -1.220 4.980
-2.359 5.007 0.405
ATOMIC_POSITIONS angstrom
I -0.866 -0.610 2.490
I -2.291 -0.995 -1.041
Sb -1.179 2.503 0.203
As 0.000 0.000 0.000
Ta -4.337 0.899 1.652
```

It is (A) that is most stable; the runner-up trails by 0.609 eV/atom.

(A)
Material: TcSb2AsI
Method: DFT, PBE
State: relaxed Values from VASP.

SG = No. 123

```
&SYSTEM
  ibrav = 0, nat = 5, ntyp = 4
/
ATOMIC_SPECIES
I 126.90 I.upf
Sb 121.76 Sb.upf
As 74.92 As.upf
Tc 98.00 Tc.upf
CELL_PARAMETERS angstrom
5.048 0.000 0.000
0.000 5.048 0.000
0.000 0.000 5.664
ATOMIC_POSITIONS angstrom
I 0.000 0.000 2.832
Sb 0.000 2.524 0.000
Sb 2.524 0.000 0.000
As 2.524 2.524 2.832
Tc 0.000 0.000 0.000
```

(B)
Material: TcSb2AsI
Method: DFT, PBE
State: relaxed Values from VASP.

SG = No. 123

```
&SYSTEM
  ibrav = 0, nat = 5, ntyp = 4
/
ATOMIC_SPECIES
I 126.90 I.upf
Sb 121.76 Sb.upf
As 74.92 As.upf
Tc 98.00 Tc.upf
CELL_PARAMETERS angstrom
-1.919 -0.613 -5.022
4.156 -3.255 -1.191
-2.895 -4.293 1.631
ATOMIC_POSITIONS angstrom
I -1.448 -2.147 0.815
Sb 2.078 -1.628 -0.595
Sb -0.960 -0.307 -2.511
As 0.000 0.000 0.000
Tc -0.330 -4.081 -2.291
```

It is (A) that is most stable; the runner-up trails by 0.587 eV/atom.

(A)
Material: SbTeAsI2
Method: DFT, PBE
State: relaxed Values from VASP.

SG = No. 123

```
&SYSTEM
  ibrav = 0, nat = 5, ntyp = 4
/
ATOMIC_SPECIES
I 126.90 I.upf
Sb 121.76 Sb.upf
As 74.92 As.upf
Te 127.60 Te.upf
CELL_PARAMETERS angstrom
5.501 0.000 0.000
0.000 5.501 0.000
0.000 0.000 5.726
ATOMIC_POSITIONS angstrom
I 0.000 2.750 0.000
I 2.750 0.000 0.000
Sb 2.750 2.750 2.863
As 0.000 0.000 0.000
Te 0.000 0.000 2.863
```

(B)
Material: SbTeAsI2
Method: DFT, PBE
State: relaxed Values from VASP.

SG = No. 123

```
&SYSTEM
  ibrav = 0, nat = 5, ntyp = 4
/
ATOMIC_SPECIES
I 126.90 I.upf
Sb 121.76 Sb.upf
As 74.92 As.upf
Te 127.60 Te.upf
CELL_PARAMETERS angstrom
5.888 0.000 0.000
0.000 5.888 0.000
0.000 0.000 6.265
ATOMIC_POSITIONS angstrom
I 0.000 2.944 0.000
I 2.944 0.000 0.000
Sb 0.000 0.000 3.132
As 2.944 2.944 3.132
Te 0.000 0.000 0.000
```

(C)
Material: SbTeAsI2
Method: DFT, PBE
State: relaxed Values from VASP.

SG = No. 123

```
&SYSTEM
  ibrav = 0, nat = 5, ntyp = 4
/
ATOMIC_SPECIES
I 126.90 I.upf
Sb 121.76 Sb.upf
As 74.92 As.upf
Te 127.60 Te.upf
CELL_PARAMETERS angstrom
5.932 0.000 0.000
0.000 5.932 0.000
0.000 0.000 6.016
ATOMIC_POSITIONS angstrom
I 0.000 2.966 0.000
I 2.966 0.000 0.000
Sb 0.000 0.000 0.000
As 2.966 2.966 3.008
Te 0.000 0.000 3.008
```

(D)
Material: SbTeAsI2
Method: DFT, PBE
State: relaxed Values from VASP.

SG = No. 123

```
&SYSTEM
  ibrav = 0, nat = 5, ntyp = 4
/
ATOMIC_SPECIES
I 126.90 I.upf
Sb 121.76 Sb.upf
As 74.92 As.upf
Te 127.60 Te.upf
CELL_PARAMETERS angstrom
5.491 0.000 0.000
0.000 5.491 0.000
0.000 0.000 5.780
ATOMIC_POSITIONS angstrom
I 0.000 2.746 0.000
I 2.746 0.000 0.000
Sb 0.000 0.000 2.890
As 0.000 0.000 0.000
Te 2.746 2.746 2.890
```

It is (A) that is most stable; the runner-up trails by 0.031 eV/atom.

(A)
Material: SbTe2AsI
Method: DFT, PBE
State: relaxed Values from VASP.

SG = No. 123

```
&SYSTEM
  ibrav = 0, nat = 5, ntyp = 4
/
ATOMIC_SPECIES
I 126.90 I.upf
Sb 121.76 Sb.upf
As 74.92 As.upf
Te 127.60 Te.upf
CELL_PARAMETERS angstrom
-2.686 -3.722 -3.021
1.617 -3.963 3.446
-4.537 0.800 3.049
ATOMIC_POSITIONS angstrom
I -2.803 -3.443 1.737
Sb -2.269 0.400 1.524
As 0.000 0.000 0.000
Te 0.808 -1.982 1.723
Te -1.343 -1.861 -1.510
```

(B)
Material: SbTe2AsI
Method: DFT, PBE
State: relaxed Values from VASP.

SG = No. 123

```
&SYSTEM
  ibrav = 0, nat = 5, ntyp = 4
/
ATOMIC_SPECIES
I 126.90 I.upf
Sb 121.76 Sb.upf
As 74.92 As.upf
Te 127.60 Te.upf
CELL_PARAMETERS angstrom
5.536 0.000 0.000
0.000 5.536 0.000
0.000 0.000 5.409
ATOMIC_POSITIONS angstrom
I 0.000 0.000 2.705
Sb 2.768 2.768 2.705
As 0.000 0.000 0.000
Te 0.000 2.768 0.000
Te 2.768 0.000 0.000
```

It is (B) that is most stable; the runner-up trails by 0.027 eV/atom.

(A)
Material: SbTe2AsI
Method: DFT, PBE
State: relaxed Values from VASP.

SG = No. 123

```
&SYSTEM
  ibrav = 0, nat = 5, ntyp = 4
/
ATOMIC_SPECIES
I 126.90 I.upf
Sb 121.76 Sb.upf
As 74.92 As.upf
Te 127.60 Te.upf
CELL_PARAMETERS angstrom
5.838 0.000 0.000
0.000 5.838 0.000
0.000 0.000 5.845
ATOMIC_POSITIONS angstrom
I 0.000 0.000 2.923
Sb 0.000 0.000 0.000
As 2.919 2.919 2.923
Te 0.000 2.919 0.000
Te 2.919 0.000 0.000
```

(B)
Material: SbTe2AsI
Method: DFT, PBE
State: relaxed Values from VASP.

SG = No. 123

```
&SYSTEM
  ibrav = 0, nat = 5, ntyp = 4
/
ATOMIC_SPECIES
I 126.90 I.upf
Sb 121.76 Sb.upf
As 74.92 As.upf
Te 127.60 Te.upf
CELL_PARAMETERS angstrom
5.748 0.000 0.000
0.000 5.748 0.000
0.000 0.000 5.979
ATOMIC_POSITIONS angstrom
I 0.000 0.000 0.000
Sb 0.000 0.000 2.990
As 2.874 2.874 2.990
Te 0.000 2.874 0.000
Te 2.874 0.000 0.000
```

It is (A) that is most stable; the runner-up trails by 0.498 eV/atom.

(A)
Material: TlSbAsI2
Method: DFT, PBE
State: relaxed Values from VASP.

SG = No. 123

```
&SYSTEM
  ibrav = 0, nat = 5, ntyp = 4
/
ATOMIC_SPECIES
I 126.90 I.upf
Sb 121.76 Sb.upf
Tl 204.38 Tl.upf
As 74.92 As.upf
CELL_PARAMETERS angstrom
6.073 0.000 0.000
0.000 6.073 0.000
0.000 0.000 5.987
ATOMIC_POSITIONS angstrom
I 0.000 3.036 0.000
I 3.036 0.000 0.000
Sb 0.000 0.000 2.993
Tl 0.000 0.000 0.000
As 3.036 3.036 2.993
```

(B)
Material: TlSbAsI2
Method: DFT, PBE
State: relaxed Values from VASP.

SG = No. 123

```
&SYSTEM
  ibrav = 0, nat = 5, ntyp = 4
/
ATOMIC_SPECIES
I 126.90 I.upf
Sb 121.76 Sb.upf
Tl 204.38 Tl.upf
As 74.92 As.upf
CELL_PARAMETERS angstrom
-3.903 2.304 -3.873
-3.207 -5.020 0.245
-2.855 2.022 4.080
ATOMIC_POSITIONS angstrom
I -1.603 -2.510 0.122
I -1.951 1.152 -1.937
Sb -1.427 1.011 2.040
Tl -4.982 -0.347 0.226
As 0.000 0.000 0.000
```

It is (B) that is most stable; the runner-up trails by 0.623 eV/atom.

(A)
Material: VSbAsI2
Method: DFT, PBE
State: relaxed Values from VASP.

SG = No. 123

```
&SYSTEM
  ibrav = 0, nat = 5, ntyp = 4
/
ATOMIC_SPECIES
I 126.90 I.upf
Sb 121.76 Sb.upf
As 74.92 As.upf
V 50.94 V.upf
CELL_PARAMETERS angstrom
5.293 0.000 0.000
0.000 5.293 0.000
0.000 0.000 5.599
ATOMIC_POSITIONS angstrom
I 0.000 2.646 0.000
I 2.646 0.000 0.000
Sb 0.000 0.000 2.799
As 2.646 2.646 2.799
V 0.000 0.000 0.000
```

(B)
Material: VSbAsI2
Method: DFT, PBE
State: relaxed Values from VASP.

SG = No. 123

```
&SYSTEM
  ibrav = 0, nat = 5, ntyp = 4
/
ATOMIC_SPECIES
I 126.90 I.upf
Sb 121.76 Sb.upf
As 74.92 As.upf
V 50.94 V.upf
CELL_PARAMETERS angstrom
-4.845 -0.896 -2.567
1.679 -5.111 -1.385
-2.155 -2.000 4.766
ATOMIC_POSITIONS angstrom
I 0.840 -2.556 -0.693
I -2.422 -0.448 -1.284
Sb -1.078 -1.000 2.383
As 0.000 0.000 0.000
V -2.660 -4.004 0.407
```

It is (A) that is most stable; the runner-up trails by 0.327 eV/atom.

(A)
Material: YSb2AsI
Method: DFT, PBE
State: relaxed Values from VASP.

SG = No. 123

```
&SYSTEM
  ibrav = 0, nat = 5, ntyp = 4
/
ATOMIC_SPECIES
I 126.90 I.upf
Sb 121.76 Sb.upf
As 74.92 As.upf
Y 88.91 Y.upf
CELL_PARAMETERS angstrom
5.946 0.000 0.000
0.000 5.946 0.000
0.000 0.000 5.807
ATOMIC_POSITIONS angstrom
I 0.000 0.000 2.903
Sb 0.000 2.973 0.000
Sb 2.973 0.000 0.000
As 2.973 2.973 2.903
Y 0.000 0.000 0.000
```

(B)
Material: YSb2AsI
Method: DFT, PBE
State: relaxed Values from VASP.

SG = No. 123

```
&SYSTEM
  ibrav = 0, nat = 5, ntyp = 4
/
ATOMIC_SPECIES
I 126.90 I.upf
Sb 121.76 Sb.upf
As 74.92 As.upf
Y 88.91 Y.upf
CELL_PARAMETERS angstrom
-5.308 -0.847 0.500
0.608 -4.984 -1.982
0.780 -1.910 5.042
ATOMIC_POSITIONS angstrom
I 0.390 -0.955 2.521
Sb 0.304 -2.492 -0.991
Sb -2.654 -0.423 0.250
As 0.000 0.000 0.000
Y -1.960 -3.870 1.780
```

It is (B) that is most stable; the runner-up trails by 0.252 eV/atom.

(A)
Material: ZnSb2AsI
Method: DFT, PBE
State: relaxed Values from VASP.

SG = No. 123

```
&SYSTEM
  ibrav = 0, nat = 5, ntyp = 4
/
ATOMIC_SPECIES
I 126.90 I.upf
Sb 121.76 Sb.upf
As 74.92 As.upf
Zn 65.41 Zn.upf
CELL_PARAMETERS angstrom
-4.513 2.839 1.148
0.693 -1.044 5.308
3.152 4.795 0.532
ATOMIC_POSITIONS angstrom
I 1.576 2.398 0.266
Sb 0.346 -0.522 2.654
Sb -2.257 1.420 0.574
As 0.000 0.000 0.000
Zn -0.334 3.295 3.494
```

(B)
Material: ZnSb2AsI
Method: DFT, PBE
State: relaxed Values from VASP.

SG = No. 123

```
&SYSTEM
  ibrav = 0, nat = 5, ntyp = 4
/
ATOMIC_SPECIES
I 126.90 I.upf
Sb 121.76 Sb.upf
As 74.92 As.upf
Zn 65.41 Zn.upf
CELL_PARAMETERS angstrom
-4.176 -3.122 -0.891
-0.096 -1.332 5.118
-3.228 4.035 0.990
ATOMIC_POSITIONS angstrom
I -1.614 2.018 0.495
Sb -0.048 -0.666 2.559
Sb -2.088 -1.561 -0.445
As -3.750 -0.209 2.609
Zn 0.000 0.000 0.000
```

It is (A) that is most stable; the runner-up trails by 0.036 eV/atom.

(A)
Material: ZrSbAsI2
Method: DFT, PBE
State: relaxed Values from VASP.

SG = No. 123

```
&SYSTEM
  ibrav = 0, nat = 5, ntyp = 4
/
ATOMIC_SPECIES
I 126.90 I.upf
Sb 121.76 Sb.upf
As 74.92 As.upf
Zr 91.22 Zr.upf
CELL_PARAMETERS angstrom
-2.690 0.028 4.922
-4.907 -0.451 -2.680
0.402 -5.878 0.253
ATOMIC_POSITIONS angstrom
I -2.454 -0.225 -1.340
I -1.345 0.014 2.461
Sb 0.201 -2.939 0.126
As -3.598 -3.151 1.247
Zr 0.000 0.000 0.000
```

(B)
Material: ZrSbAsI2
Method: DFT, PBE
State: relaxed Values from VASP.

SG = No. 123

```
&SYSTEM
  ibrav = 0, nat = 5, ntyp = 4
/
ATOMIC_SPECIES
I 126.90 I.upf
Sb 121.76 Sb.upf
As 74.92 As.upf
Zr 91.22 Zr.upf
CELL_PARAMETERS angstrom
-0.311 5.390 -0.312
-5.030 -0.403 -1.947
-2.035 0.185 5.219
ATOMIC_POSITIONS angstrom
I -2.515 -0.202 -0.973
I -0.156 2.695 -0.156
Sb -1.018 0.092 2.610
As 0.000 0.000 0.000
Zr -3.688 2.586 1.480
```

(C)
Material: ZrSbAsI2
Method: DFT, PBE
State: relaxed Values from VASP.

SG = No. 123

```
&SYSTEM
  ibrav = 0, nat = 5, ntyp = 4
/
ATOMIC_SPECIES
I 126.90 I.upf
Sb 121.76 Sb.upf
As 74.92 As.upf
Zr 91.22 Zr.upf
CELL_PARAMETERS angstrom
5.903 0.000 0.000
0.000 5.778 0.000
0.000 0.000 5.903
ATOMIC_POSITIONS angstrom
I 0.000 0.000 2.952
I 2.952 0.000 0.000
Sb 0.000 0.000 0.000
As 2.952 2.889 2.952
Zr 0.000 2.889 0.000
```

It is (A) that is most stable; the runner-up trails by 0.421 eV/atom.

(A)
Material: ScAsI3
Method: DFT, PBE
State: relaxed Values from VASP.

SG = No. 221

```
&SYSTEM
  ibrav = 0, nat = 5, ntyp = 3
/
ATOMIC_SPECIES
I 126.90 I.upf
Sc 44.96 Sc.upf
As 74.92 As.upf
CELL_PARAMETERS angstrom
-1.893 -5.053 -1.857
5.383 -1.768 -0.675
0.022 -1.976 5.354
ATOMIC_POSITIONS angstrom
I 2.692 -0.884 -0.337
I 0.011 -0.988 2.677
I -0.946 -2.527 -0.928
Sc 1.757 -4.399 1.411
As 0.000 0.000 0.000
```

(B)
Material: ScAsI3
Method: DFT, PBE
State: relaxed Values from VASP.

SG = No. 221

```
&SYSTEM
  ibrav = 0, nat = 5, ntyp = 3
/
ATOMIC_SPECIES
I 126.90 I.upf
Sc 44.96 Sc.upf
As 74.92 As.upf
CELL_PARAMETERS angstrom
5.785 0.000 0.000
0.000 5.785 0.000
0.000 0.000 5.785
ATOMIC_POSITIONS angstrom
I 0.000 2.892 0.000
I 0.000 0.000 2.892
I 2.892 0.000 0.000
Sc 0.000 0.000 0.000
As 2.892 2.892 2.892
```

It is (B) that is most stable; the runner-up trails by 0.521 eV/atom.